# 1
Here is a relaxed ThScIn6 crystal from the Alexandria database. Energies are from PBE.

POSCAR file:
```
ThScIn6
1.0
4.649 0.000 0.000
0.000 4.649 0.000
0.000 0.000 9.242
In Sc Th
6 1 1
Cartesian
2.325 0.000 6.816
0.000 2.325 2.427
0.000 2.325 6.816
2.325 0.000 2.427
2.325 2.325 4.621
2.325 2.325 0.000
0.000 0.000 4.621
0.000 0.000 0.000
```

=====

# 2
Here is a relaxed SrCr5 crystal from the Alexandria database. Energies are from PBE.

energy relative to the lowest polymorph listed for this composition = 217 meV per atom

POSCAR file:
```
SrCr5
1.0
-0.002 2.611 8.943
-0.547 0.300 -9.296
-3.865 -0.703 0.205
Sr Cr
1 5
Cartesian
-2.428 0.167 -7.465
-0.035 2.468 7.814
-0.367 1.060 -3.301
-2.243 0.952 -1.278
-2.033 1.841 5.744
-0.155 1.962 3.816
```

=====

# 3
Here is a relaxed HfZr2Rh crystal from the Alexandria database. Energies are from PBE.

energy relative to the lowest polymorph listed for this composition = 220 meV per atom

POSCAR file:
```
HfZr2Rh
1.0
-1.892 2.611 -0.085
-1.733 0.821 2.593
5.793 6.317 3.876
Zr Rh Hf
2 1 1
Cartesian
1.817 7.453 4.871
0.351 2.296 1.513
0.000 0.000 0.000
1.084 4.874 3.192
```

=====

Number 1: formation energy -2.6 eV/f.u.. Number 2: formation energy 4.2 eV/f.u.. Number 3: formation energy -0.8 eV/f.u..